Entry 1:
Here is LaTaPd3 at its PBEsol-relaxed geometry from Alexandria. Energies are from meta-GGA SCAN.

Magnetic moment: 3.26 Bohr magnetons per cell
ΔE_f: 1.288 eV per atom

Cell and atoms, written as CIF:
```
data_LaTaPd3
_chemical_formula_sum 'La1 Ta1 Pd3'
_cell_length_a 4.9283
_cell_length_b 4.9283
_cell_length_c 4.9283
_cell_angle_alpha 90.00
_cell_angle_beta 90.00
_cell_angle_gamma 90.00
_symmetry_space_group_name_H-M 'P 1'
_symmetry_Int_Tables_number 1
loop_
_symmetry_equiv_pos_as_xyz
'x,y,z'
loop_
_atom_site_label
_atom_site_type_symbol
_atom_site_fract_x
_atom_site_fract_y
_atom_site_fract_z
Ta1 Ta 0.5000 0.5000 0.5000
Pd1 Pd 0.0000 0.5000 0.0000
La1 La 0.0000 0.0000 0.0000
Pd2 Pd 0.0000 0.0000 0.5000
Pd3 Pd 0.5000 0.0000 0.0000
```

---

Entry 2:
Here is La2TaPd at its PBEsol-relaxed geometry from Alexandria. Energies are from meta-GGA SCAN.

Magnetic moment: 2.29 Bohr magnetons per cell
ΔE_f: 0.193 eV per atom

Cell and atoms, written as CIF:
```
data_La2TaPd
_chemical_formula_sum 'La2 Ta1 Pd1'
_cell_length_a 5.1204
_cell_length_b 5.1204
_cell_length_c 5.1204
_cell_angle_alpha 60.00
_cell_angle_beta 60.00
_cell_angle_gamma 60.00
_symmetry_space_group_name_H-M 'P 1'
_symmetry_Int_Tables_number 1
loop_
_symmetry_equiv_pos_as_xyz
'x,y,z'
loop_
_atom_site_label
_atom_site_type_symbol
_atom_site_fract_x
_atom_site_fract_y
_atom_site_fract_z
La1 La 0.2500 0.2500 0.2500
Pd1 Pd 0.0000 0.0000 0.0000
Ta1 Ta 0.5000 0.5000 0.5000
La2 La 0.7500 0.7500 0.7500
```

---

Entry 3:
Here is LaTlTcPd2 at its PBEsol-relaxed geometry from Alexandria. Energies are from meta-GGA SCAN.

Magnetic moment: 1.35 Bohr magnetons per cell
ΔE_f: 1.047 eV per atom

Cell and atoms, written as CIF:
```
data_LaTlTcPd2
_chemical_formula_sum 'La1 Tl1 Tc1 Pd2'
_cell_length_a 4.8443
_cell_length_b 5.0688
_cell_length_c 5.0688
_cell_angle_alpha 90.00
_cell_angle_beta 90.00
_cell_angle_gamma 90.00
_symmetry_space_group_name_H-M 'P 1'
_symmetry_Int_Tables_number 1
loop_
_symmetry_equiv_pos_as_xyz
'x,y,z'
loop_
_atom_site_label
_atom_site_type_symbol
_atom_site_fract_x
_atom_site_fract_y
_atom_site_fract_z
La1 La 0.0000 0.0000 0.0000
Pd1 Pd 0.0000 0.0000 0.5000
Tc1 Tc 0.5000 0.0000 0.0000
Tl1 Tl 0.5000 0.5000 0.5000
Pd2 Pd 0.0000 0.5000 0.0000
```

---

Entry 4:
Here is La2TePd2 at its PBEsol-relaxed geometry from Alexandria. Energies are from meta-GGA SCAN.

Formation energy from raw total energies: -1169 meV/atom
Magnetic moment: 0.00 Bohr magnetons per cell

Cell and atoms, written as CIF:
```
data_La2TePd2
_chemical_formula_sum 'La4 Te2 Pd4'
_cell_length_a 3.9288
_cell_length_b 7.7988
_cell_length_c 7.7988
_cell_angle_alpha 90.00
_cell_angle_beta 90.00
_cell_angle_gamma 90.00
_symmetry_space_group_name_H-M 'P 1'
_symmetry_Int_Tables_number 1
loop_
_symmetry_equiv_pos_as_xyz
'x,y,z'
loop_
_atom_site_label
_atom_site_type_symbol
_atom_site_fract_x
_atom_site_fract_y
_atom_site_fract_z
Te1 Te 0.0000 0.0000 0.0000
La1 La 0.5000 0.6789 0.8211
Pd1 Pd 0.0000 0.8768 0.6232
Pd2 Pd 0.0000 0.6232 0.1232
Pd3 Pd 0.0000 0.3768 0.8768
La2 La 0.5000 0.1789 0.6789
Te2 Te 0.0000 0.5000 0.5000
La3 La 0.5000 0.3211 0.1789
Pd4 Pd 0.0000 0.1232 0.3768
La4 La 0.5000 0.8211 0.3211
```

---

Entry 5:
Here is LaTePdW2 at its PBEsol-relaxed geometry from Alexandria. Energies are from meta-GGA SCAN.

Formation energy from raw total energies: 2490 meV/atom
Magnetic moment: 1.55 Bohr magnetons per cell

Cell and atoms, written as CIF:
```
data_LaTePdW2
_chemical_formula_sum 'La1 Te1 Pd1 W2'
_cell_length_a 4.8985
_cell_length_b 4.8985
_cell_length_c 4.9619
_cell_angle_alpha 90.00
_cell_angle_beta 90.00
_cell_angle_gamma 90.00
_symmetry_space_group_name_H-M 'P 1'
_symmetry_Int_Tables_number 1
loop_
_symmetry_equiv_pos_as_xyz
'x,y,z'
loop_
_atom_site_label
_atom_site_type_symbol
_atom_site_fract_x
_atom_site_fract_y
_atom_site_fract_z
La1 La 0.0000 0.0000 0.0000
W1 W 0.5000 0.0000 0.0000
Pd1 Pd 0.0000 0.0000 0.5000
Te1 Te 0.5000 0.5000 0.5000
W2 W 0.0000 0.5000 0.0000
```

---

Entry 6:
Here is La2TiPd2 at its PBEsol-relaxed geometry from Alexandria. Energies are from meta-GGA SCAN.

Magnetic moment: 1.73 Bohr magnetons per cell
ΔE_f: -0.345 eV per atom

Cell and atoms, written as CIF:
```
data_La2TiPd2
_chemical_formula_sum 'La2 Ti1 Pd2'
_cell_length_a 5.5871
_cell_length_b 5.5871
_cell_length_c 5.5871
_cell_angle_alpha 92.42
_cell_angle_beta 118.61
_cell_angle_gamma 118.61
_symmetry_space_group_name_H-M 'P 1'
_symmetry_Int_Tables_number 1
loop_
_symmetry_equiv_pos_as_xyz
'x,y,z'
loop_
_atom_site_label
_atom_site_type_symbol
_atom_site_fract_x
_atom_site_fract_y
_atom_site_fract_z
La1 La 0.5000 0.7500 0.2500
Pd1 Pd 0.0000 0.3309 0.3309
Pd2 Pd 0.0000 0.6691 0.6691
Ti1 Ti 0.0000 0.0000 0.0000
La2 La 0.5000 0.2500 0.7500
```

---

Here are the calculated volume numbers, same order: 120 95 124 119 119 126 (Å³/f.u.).
Here are the calculated N(E_F) numbers, same order: 4.28 3.76 2.26 2.72 5.74 3.20 (states/eV/cell).